1.
! Li2Ag2Sb PBE-GGA optimized geometry; values from VASP
! Fermi-level density of states	2.58	states/eV per cell
! calculated total energy	-13.4	eV/f.u.
! excess energy over the best structure of this formula in the dataset	319	meV/atom
! space-group type	I4/mmm, No. 139
&SYSTEM
  ibrav = 0, nat = 5, ntyp = 3
/
ATOMIC_SPECIES
Ag 107.87 Ag.upf
Sb 121.76 Sb.upf
Li 6.94 Li.upf
CELL_PARAMETERS angstrom
-1.7219 -3.5432 0.6344
2.6674 -0.7838 2.8622
-3.3321 0.4485 6.0096
ATOMIC_POSITIONS crystal
Ag 0.3922 0.3922 0.2155
Ag 0.6078 0.6078 0.7845
Sb 0.0000 0.0000 0.0000
Li 0.7500 0.2500 0.5000
Li 0.2500 0.7500 0.5000

=====

2.
! LiAgSb2 PBE-GGA optimized geometry; values from VASP
! Fermi-level density of states	1.69	states/eV per cell
! calculated total energy	-13.6	eV/f.u.
! excess energy over the best structure of this formula in the dataset	1	meV/atom
! space-group type	Cm, No. 8
&SYSTEM
  ibrav = 0, nat = 4, ntyp = 3
/
ATOMIC_SPECIES
Ag 107.87 Ag.upf
Li 6.94 Li.upf
Sb 121.76 Sb.upf
CELL_PARAMETERS angstrom
6.8221 0.3028 -1.1601
5.9263 3.3928 -1.1601
-1.1213 -0.3251 4.6360
ATOMIC_POSITIONS crystal
Ag 0.5434 0.5434 0.6746
Li 0.2248 0.2248 0.1053
Sb 0.9809 0.9809 0.0887
Sb 0.7510 0.7510 0.6313

=====

3.
! LiAgSb PBE-GGA optimized geometry; values from VASP
! Fermi-level density of states	0.55	states/eV per cell
! calculated total energy	-9.2	eV/f.u.
! space-group type	P3m1, No. 156
&SYSTEM
  ibrav = 0, nat = 3, ntyp = 3
/
ATOMIC_SPECIES
Li 6.94 Li.upf
Ag 107.87 Ag.upf
Sb 121.76 Sb.upf
CELL_PARAMETERS angstrom
3.2053 0.0000 0.0000
-1.6026 2.7758 0.0000
0.0000 0.0000 6.9537
ATOMIC_POSITIONS crystal
Li 0.6667 0.3333 0.3252
Ag 0.0000 0.0000 0.0170
Sb 0.3333 0.6667 0.6578

=====

4.
! Li3Ag12Sb5 PBE-GGA optimized geometry; values from VASP
! Fermi-level density of states	45.34	states/eV per cell
! calculated total energy	-55.9	eV/f.u.
! space-group type	Ia-3d, No. 230
&SYSTEM
  ibrav = 0, nat = 80, ntyp = 3
/
ATOMIC_SPECIES
Ag 107.87 Ag.upf
Sb 121.76 Sb.upf
Li 6.94 Li.upf
CELL_PARAMETERS angstrom
13.7673 0.0000 0.0000
-4.5891 12.9800 0.0000
-4.5891 -6.4900 11.2410
ATOMIC_POSITIONS crystal
Ag 0.6590 0.2301 0.5817
Ag 0.3410 0.5712 0.4227
Ag 0.2301 0.5712 0.6485
Ag 0.0773 0.9183 0.1485
Ag 0.5712 0.3410 0.9227
Ag 0.6485 0.0712 0.2301
Ag 0.5817 0.8515 0.4227
Ag 0.2699 0.8515 0.9288
Ag 0.9288 0.5773 0.1590
Ag 0.9183 0.0773 0.6485
Ag 0.5773 0.9288 0.6590
Ag 0.0773 0.1590 0.4288
Ag 0.8410 0.9183 0.2699
Ag 0.4288 0.6590 0.0773
Ag 0.3515 0.9288 0.7699
Ag 0.1485 0.4183 0.0773
Ag 0.0817 0.1590 0.2301
Ag 0.4227 0.3515 0.5817
Ag 0.6485 0.5773 0.9183
Ag 0.7301 0.5817 0.1590
Ag 0.9288 0.3515 0.2699
Ag 0.9183 0.8410 0.7699
Ag 0.1590 0.0773 0.9288
Ag 0.2301 0.6590 0.0817
Ag 0.5773 0.6485 0.4183
Ag 0.7699 0.3410 0.9183
Ag 0.2699 0.4183 0.8410
Ag 0.1590 0.0817 0.7301
Ag 0.9227 0.8410 0.5712
Ag 0.7699 0.4288 0.3515
Ag 0.0712 0.6485 0.7301
Ag 0.5712 0.2301 0.1485
Ag 0.8515 0.2699 0.4288
Ag 0.0712 0.4227 0.8410
Ag 0.6590 0.4288 0.5773
Ag 0.3410 0.7699 0.4183
Ag 0.7301 0.1485 0.0712
Ag 0.8410 0.9227 0.0712
Ag 0.8515 0.5817 0.9227
Ag 0.4183 0.2699 0.3410
Ag 0.1485 0.7301 0.5712
Ag 0.0817 0.9227 0.3515
Ag 0.4183 0.1485 0.5773
Ag 0.3515 0.4227 0.0817
Ag 0.4288 0.7699 0.8515
Ag 0.9227 0.0817 0.8515
Ag 0.5817 0.7301 0.6590
Ag 0.4227 0.0712 0.3410
Sb 0.1250 0.3750 0.2500
Sb 0.5000 0.0000 0.0000
Sb 0.3750 0.1250 0.7500
Sb 0.3750 0.2500 0.1250
Sb 0.0000 0.5000 0.5000
Sb 0.2500 0.8750 0.1250
Sb 0.0000 0.0000 0.0000
Sb 0.0000 0.0000 0.5000
Sb 0.8750 0.6250 0.7500
Sb 0.7500 0.6250 0.3750
Sb 0.7500 0.1250 0.8750
Sb 0.5000 0.0000 0.5000
Sb 0.8750 0.2500 0.6250
Sb 0.6250 0.8750 0.2500
Sb 0.1250 0.7500 0.3750
Sb 0.5000 0.5000 0.5000
Sb 0.0000 0.5000 0.0000
Sb 0.6250 0.7500 0.8750
Sb 0.2500 0.3750 0.6250
Sb 0.5000 0.5000 0.0000
Li 0.3750 0.7500 0.6250
Li 0.1250 0.8750 0.7500
Li 0.3750 0.6250 0.2500
Li 0.7500 0.8750 0.6250
Li 0.1250 0.2500 0.8750
Li 0.8750 0.7500 0.1250
Li 0.6250 0.3750 0.7500
Li 0.2500 0.6250 0.8750
Li 0.2500 0.1250 0.3750
Li 0.8750 0.1250 0.2500
Li 0.6250 0.2500 0.3750
Li 0.7500 0.3750 0.1250

=====

5.
! LiAg2Sb PBE-GGA optimized geometry; values from VASP
! Fermi-level density of states	1.07	states/eV per cell
! calculated total energy	-12.3	eV/f.u.
! space-group type	Pm, No. 6
&SYSTEM
  ibrav = 0, nat = 4, ntyp = 3
/
ATOMIC_SPECIES
Ag 107.87 Ag.upf
Sb 121.76 Sb.upf
Li 6.94 Li.upf
CELL_PARAMETERS angstrom
-3.8921 1.9155 -1.3529
-0.5314 -2.3691 -1.8255
-3.0155 -3.6975 3.4400
ATOMIC_POSITIONS crystal
Ag 0.5000 0.1928 0.2262
Ag 0.0000 0.7895 0.0333
Sb 0.5000 0.9639 0.7265
Li 0.0000 0.5537 0.5140

=====

6.
! LiAg14Sb PBE-GGA optimized geometry; values from VASP
! Fermi-level density of states	6.98	states/eV per cell
! calculated total energy	-46.1	eV/f.u.
! space-group type	Amm2, No. 38
&SYSTEM
  ibrav = 0, nat = 16, ntyp = 3
/
ATOMIC_SPECIES
Ag 107.87 Ag.upf
Li 6.94 Li.upf
Sb 121.76 Sb.upf
CELL_PARAMETERS angstrom
-1.1700 -5.5444 -1.7943
4.6752 2.9738 -2.1511
5.4575 -3.4478 7.0952
ATOMIC_POSITIONS crystal
Ag 0.0426 0.4598 0.5000
Ag 0.3726 0.6274 0.2467
Ag 0.3726 0.6274 0.7533
Ag 0.8795 0.6295 0.7522
Ag 0.7100 0.7893 0.0000
Ag 0.3705 0.1205 0.2478
Ag 0.8745 0.1255 0.2487
Ag 0.8795 0.6295 0.2478
Ag 0.5402 0.9574 0.5000
Ag 0.3705 0.1205 0.7522
Ag 0.8745 0.1255 0.7513
Ag 0.2107 0.2900 0.0000
Ag 0.7092 0.2908 0.0000
Ag 0.2100 0.7900 0.0000
Li 0.0397 0.9603 0.5000
Sb 0.5434 0.4566 0.5000

=====

7.
! LiAg2Sb PBE-GGA optimized geometry; values from VASP
! Fermi-level density of states	0.72	states/eV per cell
! calculated total energy	-12.3	eV/f.u.
! space-group type	P2/m, No. 10
&SYSTEM
  ibrav = 0, nat = 4, ntyp = 3
/
ATOMIC_SPECIES
Ag 107.87 Ag.upf
Li 6.94 Li.upf
Sb 121.76 Sb.upf
CELL_PARAMETERS angstrom
5.0338 0.0000 0.0000
0.0000 2.9881 -0.0363
0.0000 0.0525 5.2339
ATOMIC_POSITIONS crystal
Ag 0.0000 0.5235 0.4867
Ag 0.0000 0.9765 0.0133
Li 0.5000 0.2500 0.2500
Sb 0.5000 0.7500 0.7500

=====

8.
! LiAgSb3 PBE-GGA optimized geometry; values from VASP
! Fermi-level density of states	2.81	states/eV per cell
! calculated total energy	-15.1	eV/f.u.
! excess energy over the best structure of this formula in the dataset	0	meV/atom
! space-group type	Pm-3m, No. 221
&SYSTEM
  ibrav = 0, nat = 5, ntyp = 3
/
ATOMIC_SPECIES
Sb 121.76 Sb.upf
Ag 107.87 Ag.upf
Li 6.94 Li.upf
CELL_PARAMETERS angstrom
5.0186 0.0000 0.0000
0.0000 5.0186 0.0000
0.0000 0.0000 5.0186
ATOMIC_POSITIONS crystal
Sb 0.0000 0.0000 0.5000
Sb 0.5000 0.0000 0.0000
Sb 0.0000 0.5000 0.0000
Ag 0.5000 0.5000 0.5000
Li 0.0000 0.0000 0.0000

=====

9.
! Li3AgSb2 PBE-GGA optimized geometry; values from VASP
! Fermi-level density of states	4.65	states/eV per cell
! calculated total energy	-19.1	eV/f.u.
! space-group type	Ibam, No. 72
&SYSTEM
  ibrav = 0, nat = 12, ntyp = 3
/
ATOMIC_SPECIES
Li 6.94 Li.upf
Sb 121.76 Sb.upf
Ag 107.87 Ag.upf
CELL_PARAMETERS angstrom
5.8209 0.0000 0.0000
0.0000 5.9034 0.0000
-2.9104 -2.9517 7.1225
ATOMIC_POSITIONS crystal
Li 0.5000 0.7500 0.0000
Li 0.5997 0.3358 0.6716
Li 0.5000 0.2500 0.0000
Li 0.0720 0.8358 0.6716
Li 0.4003 0.6642 0.3284
Li 0.9280 0.1642 0.3284
Sb 0.6032 0.8632 0.7264
Sb 0.3968 0.1368 0.2736
Sb 0.1232 0.3632 0.7264
Sb 0.8768 0.6368 0.2736
Ag 0.0000 0.2500 0.0000
Ag 0.0000 0.7500 0.0000

=====

10.
! LiAg2Sb PBE-GGA optimized geometry; values from VASP
! Fermi-level density of states	0.81	states/eV per cell
! calculated total energy	-12.2	eV/f.u.
! space-group type	P4mm, No. 99
&SYSTEM
  ibrav = 0, nat = 4, ntyp = 3
/
ATOMIC_SPECIES
Sb 121.76 Sb.upf
Li 6.94 Li.upf
Ag 107.87 Ag.upf
CELL_PARAMETERS angstrom
3.4054 0.0000 0.0000
0.0000 3.4054 0.0000
0.0000 0.0000 6.6187
ATOMIC_POSITIONS crystal
Sb 0.5000 0.5000 0.7327
Li 0.0000 0.0000 0.4728
Ag 0.0000 0.0000 0.0271
Ag 0.5000 0.5000 0.2674

=====

11.
! Li3Ag2Sb2 PBE-GGA optimized geometry; values from VASP
! Fermi-level density of states	1.63	states/eV per cell
! calculated total energy	-22.2	eV/f.u.
! excess energy over the best structure of this formula in the dataset	0	meV/atom
! space-group type	P-1, No. 2
&SYSTEM
  ibrav = 0, nat = 7, ntyp = 3
/
ATOMIC_SPECIES
Li 6.94 Li.upf
Sb 121.76 Sb.upf
Ag 107.87 Ag.upf
CELL_PARAMETERS angstrom
-2.8496 2.4866 3.1623
0.3966 -4.2175 0.7583
6.0394 1.1571 3.4681
ATOMIC_POSITIONS crystal
Li 0.2797 0.1402 0.4333
Li 0.7203 0.8598 0.5667
Li 0.0000 0.0000 0.0000
Sb 0.8349 0.4153 0.2745
Sb 0.1651 0.5847 0.7255
Ag 0.4234 0.7118 0.1415
Ag 0.5766 0.2882 0.8585

=====

12.
! Li4AgSb PBE-GGA optimized geometry; values from VASP
! Fermi-level density of states	2.43	states/eV per cell
! calculated total energy	-16.9	eV/f.u.
! excess energy over the best structure of this formula in the dataset	0	meV/atom
! space-group type	Cmcm, No. 63
&SYSTEM
  ibrav = 0, nat = 12, ntyp = 3
/
ATOMIC_SPECIES
Sb 121.76 Sb.upf
Ag 107.87 Ag.upf
Li 6.94 Li.upf
CELL_PARAMETERS angstrom
-1.3103 -1.9801 -3.8376
4.2081 -3.8511 0.5502
-2.7364 -6.6317 4.3562
ATOMIC_POSITIONS crystal
Sb 0.7500 0.6292 0.2415
Sb 0.2500 0.3708 0.7585
Ag 0.7500 0.1178 0.2645
Ag 0.2500 0.8822 0.7355
Li 0.2501 0.7897 0.4142
Li 0.2500 0.9585 0.0840
Li 0.7499 0.2103 0.5858
Li 0.7500 0.0415 0.9160
Li 0.2499 0.2961 0.4142
Li 0.7501 0.7039 0.5858
Li 0.7500 0.5426 0.9160
Li 0.2500 0.4574 0.0840